8
Lattice="4.2750 0.0000 0.0000 0.0000 7.5071 -0.1910 0.0000 2.6024 7.0318" Properties=species:S:1:pos:R:3 comment="BaPm2NdSe4 (PBE, optimized geometry)" raw_formation_energy_ev_per_atom=-1.84 density_g_cm3=6.469 total_magnetization_mub_per_cell=0.00 spacegroup="No. 10" pbc="T T T"
Se 2.1375 6.3767 1.6575
Nd 0.0000 5.0547 3.4204
Se 0.0001 7.6817 5.0069
Ba 2.1375 6.3560 6.9363
Pm 0.0000 2.6024 7.0318
Se 4.2750 2.4278 1.8339
Se 2.1375 3.7328 5.1833
Pm 2.1375 1.3012 3.5159

***

8
Lattice="4.2881 0.0000 0.0000 0.0000 7.5115 -0.1861 0.0000 2.6095 7.0559" Properties=species:S:1:pos:R:3 comment="BaPmNd2Se4 (PBE, optimized geometry)" raw_formation_energy_ev_per_atom=-1.84 density_g_cm3=6.419 total_magnetization_mub_per_cell=0.00 spacegroup="No. 10" pbc="T T T"
Pm 2.1440 3.7557 -0.0930
Ba 0.0000 5.0605 3.4349
Se 2.1441 6.3554 1.4979
Se 0.0001 7.6568 5.2194
Nd 0.0000 2.6095 7.0559
Se 4.2881 2.4642 1.6504
Se 2.1441 3.7656 5.3719
Nd 2.1440 1.3048 3.5280

***

15
Lattice="8.6315 0.0000 0.0000 -4.3157 7.4759 -0.0270 0.0000 -4.9562 7.5703" Properties=species:S:1:pos:R:3 comment="Ba3Pm3NdSe8 (PBE, optimized geometry)" raw_formation_energy_ev_per_atom=-1.94 density_g_cm3=5.530 total_magnetization_mub_per_cell=0.00 spacegroup="No. 166" pbc="T T T"
Pm 2.1579 1.2598 3.7717
Se 6.4566 -1.2306 2.1332
Ba 2.1579 3.7379 -0.0135
Ba 0.0000 0.0000 0.0000
Se 0.0000 0.0365 5.4277
Se 4.3157 0.0217 5.4440
Se 4.3157 2.4832 2.1156
Se 2.1409 3.7503 5.4101
Pm 4.3157 -2.4781 3.7852
Ba -2.1579 3.7379 -0.0135
Se -2.1409 3.7503 5.4101
Nd 0.0000 -2.4781 3.7852
Se 0.0000 2.4980 2.0994
Se 2.1748 -1.2306 2.1332
Pm -2.1579 1.2598 3.7717

***

14
Lattice="-0.6163 1.9693 -8.5555 4.4575 -4.7277 -5.9359 -4.3250 -5.4129 -5.4610" Properties=species:S:1:pos:R:3 comment="BaPm4NdSe8 (PBE, optimized geometry)" raw_formation_energy_ev_per_atom=-1.79 density_g_cm3=5.126 total_magnetization_mub_per_cell=0.00 spacegroup="No. 160" pbc="T T T"
Se 1.7869 -3.4867 -12.3744
Pm 0.0388 -5.0550 -5.6930
Se -2.2617 -4.6113 -7.4081
Se -0.2389 -6.0291 -14.9504
Pm -2.4683 -1.7458 -6.9874
Pm 1.8623 -2.3989 -9.7395
Se 2.1123 -4.5264 -7.8573
Se -2.6080 -3.5047 -12.2157
Nd -4.2972 -5.3906 -5.4579
Se -0.5666 -0.9906 -9.2404
Se 0.2431 -7.2679 -10.7436
Se -0.3945 -2.2621 -5.0189
Ba -2.3552 -5.7797 -10.2139
Pm -2.1638 -2.7189 -2.7598

***

12
Lattice="4.5322 0.0000 0.0000 0.0000 9.1784 0.2903 -2.2661 -2.6860 9.5651" Properties=species:S:1:pos:R:3 comment="BaPm3Nd2Te6 (PBE, optimized geometry)" raw_formation_energy_ev_per_atom=-1.45 density_g_cm3=6.728 total_magnetization_mub_per_cell=0.00 spacegroup="No. 12" pbc="T T T"
Te 0.0000 2.0258 6.5454
Ba 2.2661 0.0000 0.0000
Te 2.2661 4.4666 3.3101
Nd 0.0000 2.2367 3.3789
Te 2.2661 -0.1713 3.3594
Te 0.0000 6.6638 6.4960
Te 0.0000 2.4370 0.1374
Pm 2.2661 -0.1562 6.5043
Pm 0.0000 6.6487 3.3512
Pm 2.2661 4.5892 0.1452
Te 2.2661 4.0555 9.7181
Nd 2.2661 4.2558 6.4766

***

12
Lattice="4.5407 0.0000 0.0000 0.0000 9.1866 0.3061 -2.2704 -2.6725 9.5714" Properties=species:S:1:pos:R:3 comment="BaPm2Nd3Te6 (PBE, optimized geometry)" raw_formation_energy_ev_per_atom=-1.45 density_g_cm3=6.699 total_magnetization_mub_per_cell=0.00 spacegroup="No. 12" pbc="T T T"
Pm 2.2704 4.2771 6.5037
Nd 2.2704 -0.1430 6.5303
Te 0.0000 6.6522 6.5146
Ba 2.2704 0.0000 0.0000
Te 2.2703 4.4397 3.3474
Te 2.2704 4.0915 9.7075
Te 2.2704 -0.1380 3.3629
Nd 2.2704 4.5933 0.1530
Te 0.0000 2.0744 6.5301
Pm 0.0000 2.2370 3.3738
Te 0.0000 2.4227 0.1700
Nd 0.0000 6.6572 3.3472